[1]
# Sr2OsSe PBE relaxed
# Total magnetization ... 0.000 μB per atom
# Energy ... -66.2 eV/cell
# Mass density ... 7.8 g/cm3
data_Sr2OsSe
_chemical_formula_sum 'Sr8 Os4 Se4'
_cell_length_a 7.228
_cell_length_b 7.228
_cell_length_c 7.228
_cell_angle_alpha 90.00
_cell_angle_beta 90.00
_cell_angle_gamma 90.00
_space_group_name_H-M_alt 'F -4 3 m'
_space_group_IT_number 216
_space_group_name_Hall 'F -4 2 3'
loop_
_atom_site_label
_atom_site_type_symbol
_atom_site_fract_x
_atom_site_fract_y
_atom_site_fract_z
Sr1 Sr 0.000 0.000 0.000
Sr2 Sr 0.250 0.250 0.250
Os1 Os 0.000 0.000 0.500
Se1 Se 0.250 0.250 0.750

[2]
# Sr2OsSe PBE relaxed
# Total magnetization ... 0.000 μB per atom
# Energy ... -37.5 eV/cell
# Mass density ... 6.9 g/cm3
data_Sr2OsSe
_chemical_formula_sum 'Sr4 Os2 Se2'
_cell_length_a 3.541
_cell_length_b 5.001
_cell_length_c 12.159
_cell_angle_alpha 90.00
_cell_angle_beta 90.00
_cell_angle_gamma 90.00
_space_group_name_H-M_alt 'I m m 2'
_space_group_IT_number 44
_space_group_name_Hall 'I 2 -2'
loop_
_atom_site_label
_atom_site_type_symbol
_atom_site_fract_x
_atom_site_fract_y
_atom_site_fract_z
Sr1 Sr 0.000 0.000 0.000
Sr2 Sr 0.000 0.500 0.217
Os1 Os 0.000 0.500 0.746
Se1 Se 0.000 0.000 0.392

[3]
# Sr2OsSe PBE relaxed
# Total magnetization ... 0.497 μB per atom
# Energy ... -35.2 eV/cell
# Mass density ... 6.7 g/cm3
data_Sr2OsSe
_chemical_formula_sum 'Sr4 Os2 Se2'
_cell_length_a 4.387
_cell_length_b 4.387
_cell_length_c 11.469
_cell_angle_alpha 90.00
_cell_angle_beta 90.00
_cell_angle_gamma 90.00
_space_group_name_H-M_alt 'I -4 m 2'
_space_group_IT_number 119
_space_group_name_Hall 'I -4 -2'
loop_
_atom_site_label
_atom_site_type_symbol
_atom_site_fract_x
_atom_site_fract_y
_atom_site_fract_z
Sr1 Sr 0.000 0.000 0.000
Sr2 Sr 0.000 0.500 0.250
Os1 Os 0.000 0.500 0.750
Se1 Se 0.000 0.000 0.500

[4]
# Sr2OsSe PBE relaxed
# Total magnetization ... 0.142 μB per atom
# Energy ... -17.3 eV/cell
# Mass density ... 6.5 g/cm3
data_Sr2OsSe
_chemical_formula_sum 'Sr2 Os1 Se1'
_cell_length_a 3.583
_cell_length_b 3.583
_cell_length_c 8.875
_cell_angle_alpha 90.00
_cell_angle_beta 90.00
_cell_angle_gamma 90.00
_space_group_name_H-M_alt 'P 4 m m'
_space_group_IT_number 99
_space_group_name_Hall 'P 4 -2'
loop_
_atom_site_label
_atom_site_type_symbol
_atom_site_fract_x
_atom_site_fract_y
_atom_site_fract_z
Sr1 Sr 0.000 0.000 0.000
Sr2 Sr 0.500 0.500 0.405
Os1 Os 0.000 0.000 0.659
Se1 Se 0.500 0.500 0.749

[5]
# Sr4OsSe PBE relaxed
# Total magnetization ... 0.000 μB per atom
# Energy ... -64.5 eV/cell
# Mass density ... 5.4 g/cm3
data_Sr4OsSe
_chemical_formula_sum 'Sr16 Os4 Se4'
_cell_length_a 9.114
_cell_length_b 9.114
_cell_length_c 9.114
_cell_angle_alpha 90.00
_cell_angle_beta 90.00
_cell_angle_gamma 90.00
_space_group_name_H-M_alt 'F -4 3 m'
_space_group_IT_number 216
_space_group_name_Hall 'F -4 2 3'
loop_
_atom_site_label
_atom_site_type_symbol
_atom_site_fract_x
_atom_site_fract_y
_atom_site_fract_z
Sr1 Sr 0.124 0.124 0.124
Os1 Os 0.250 0.250 0.750
Se1 Se 0.000 0.000 0.500

[6]
# Sr2OsSe PBE relaxed
# Total magnetization ... 0.446 μB per atom
# Energy ... -18.4 eV/cell
# Mass density ... 7.0 g/cm3
data_Sr2OsSe
_chemical_formula_sum 'Sr2 Os1 Se1'
_cell_length_a 3.655
_cell_length_b 5.381
_cell_length_c 5.381
_cell_angle_alpha 90.00
_cell_angle_beta 90.00
_cell_angle_gamma 90.00
_space_group_name_H-M_alt 'P m m 2'
_space_group_IT_number 25
_space_group_name_Hall 'P 2 -2'
loop_
_atom_site_label
_atom_site_type_symbol
_atom_site_fract_x
_atom_site_fract_y
_atom_site_fract_z
Sr1 Sr 0.000 0.000 0.000
Sr2 Sr 0.000 0.500 0.499
Os1 Os 0.500 0.000 0.500
Se1 Se 0.500 0.500 0.998

[7]
# Sr2TeOsSe PBE relaxed
# Total magnetization ... 0.176 μB per atom
# Energy ... -23.3 eV/cell
# Mass density ... 5.9 g/cm3
data_Sr2TeOsSe
_chemical_formula_sum 'Sr2 Te1 Os1 Se1'
_cell_length_a 5.977
_cell_length_b 5.977
_cell_length_c 4.527
_cell_angle_alpha 90.00
_cell_angle_beta 90.00
_cell_angle_gamma 90.00
_space_group_name_H-M_alt 'P 4/m m m'
_space_group_IT_number 123
_space_group_name_Hall '-P 4 2'
loop_
_atom_site_label
_atom_site_type_symbol
_atom_site_fract_x
_atom_site_fract_y
_atom_site_fract_z
Sr1 Sr 0.000 0.500 0.000
Te1 Te 0.000 0.000 0.500
Os1 Os 0.500 0.500 0.500
Se1 Se 0.500 0.500 0.000

[8]
# TaOs2Se PBE relaxed
# Total magnetization ... 0.000 μB per atom
# Energy ... -36.5 eV/cell
# Mass density ... 16.5 g/cm3
data_TaOs2Se
_chemical_formula_sum 'Ta1 Os2 Se1'
_cell_length_a 2.918
_cell_length_b 3.985
_cell_length_c 5.531
_cell_angle_alpha 90.00
_cell_angle_beta 90.00
_cell_angle_gamma 90.00
_space_group_name_H-M_alt 'P m m 2'
_space_group_IT_number 25
_space_group_name_Hall 'P 2 -2'
loop_
_atom_site_label
_atom_site_type_symbol
_atom_site_fract_x
_atom_site_fract_y
_atom_site_fract_z
Ta1 Ta 0.000 0.000 0.000
Os1 Os 0.000 0.000 0.482
Os2 Os 0.500 0.500 0.315
Se1 Se 0.500 0.500 0.788